No. 1
Density functional theory data (PBE) for an optimized crystal structure of TlVZnPt2.

For the formation energy, the calculation gives 17.99 kcal/mol of atoms. The crystal system is tetragonal. For the total DFT energy (no corrections), the calculation gives -20.94 eV per cell. The total magnetization comes out at 0.1 μB per formula unit. The value obtained for the mass density is 11.76 Mg/m³.

The structure belongs to space group P4/mmm (No. 123); the cell edges are 4.6839, 4.6839 and 4.5774 Å and the angles 90.00°, 90.00° and 90.00°. The distinct sites, in fractional coordinates, are Tl at (0.0000, 0.0000, 0.0000), V at (0.5000, 0.5000, 0.0000), Zn at (0.5000, 0.5000, 0.5000) and Pt at (0.0000, 0.5000, 0.5000).



No. 2
Density functional theory data (PBE) for an optimized crystal structure of ScPdPb2O6.

The crystal system is monoclinic. For the total DFT energy (no corrections), the calculation gives -125.16 eV per cell. The total magnetization comes out at 0.0 μB per formula unit. The value obtained for the mass density is 8.32 Mg/m³.

The structure belongs to space group P2_1/c (No. 14); the cell edges are 5.6850, 5.7493 and 9.8803 Å and the angles 90.00°, 125.13° and 90.00°. The distinct sites, in fractional coordinates, are Sc at (0.0000, 0.0000, 0.0000), Pd at (0.5000, 0.0000, 0.5000), Pb at (0.2572, 0.0382, 0.7503), O at (0.1750, 0.0217, 0.2559), O at (0.2559, 0.7047, 0.0413) and O at (0.3385, 0.2141, 0.0402).



No. 3
Density functional theory data (PBE) for an optimized crystal structure of LaAl3Ga.

For the formation energy, the calculation gives 27.21 kcal/mol of atoms. The crystal system is cubic. For the total DFT energy (no corrections), the calculation gives -13.28 eV per cell. For the polymorph energy (0 for the lowest one), the calculation gives 1.613 eV per atom. The total magnetization comes out at 0.0 μB per formula unit. The value obtained for the mass density is 2.54 Mg/m³.

The structure belongs to space group Pm-3m (No. 221); the cell edges are 5.7443, 5.7443 and 5.7443 Å and the angles 90.00°, 90.00° and 90.00°. The distinct sites, in fractional coordinates, are La at (0.0000, 0.0000, 0.0000), Al at (0.0000, 0.0000, 0.5000) and Ga at (0.5000, 0.5000, 0.5000).



No. 4
Density functional theory data (PBE) for an optimized crystal structure of SrGaAu6.

For the formation energy, the calculation gives -7.66 kcal/mol of atoms. The crystal system is trigonal. For the total DFT energy (no corrections), the calculation gives -81.09 eV per cell. For the polymorph energy (0 for the lowest one), the calculation gives 0.000 eV per atom. The total magnetization comes out at 0.0 μB per formula unit. The value obtained for the mass density is 12.24 Mg/m³.

The structure belongs to space group R-3m (No. 166, hexagonal axes); the cell edges are 7.0366, 7.0366 and 12.7153 Å and the angles 90.00°, 90.00° and 120.00°. The distinct sites, in fractional coordinates, are Sr at (0.0000, 0.0000, 0.0000), Ga at (0.0000, 0.0000, 0.5000) and Au at (0.0707, 0.5354, 0.8944).



No. 5
Density functional theory data (PBE) for an optimized crystal structure of AcInSn.

For the formation energy, the calculation gives -5.72 kcal/mol of atoms. The crystal system is cubic. For the total DFT energy (no corrections), the calculation gives -46.37 eV per cell. For the polymorph energy (0 for the lowest one), the calculation gives 0.300 eV per atom. The total magnetization comes out at 0.0 μB per formula unit. The value obtained for the mass density is 7.06 Mg/m³.

The structure belongs to space group F-43m (No. 216); the cell edges are 7.5653, 7.5653 and 7.5653 Å and the angles 90.00°, 90.00° and 90.00°. The distinct sites, in fractional coordinates, are Ac at (0.0000, 0.0000, 0.0000), In at (0.0000, 0.0000, 0.5000) and Sn at (0.2500, 0.2500, 0.7500).



No. 6
Density functional theory data (PBE) for an optimized crystal structure of Mg2UGa9.

For the formation energy, the calculation gives -2.71 kcal/mol of atoms. The crystal system is tetragonal. For the total DFT energy (no corrections), the calculation gives -43.13 eV per cell. The total magnetization comes out at 2.6 μB per formula unit. The value obtained for the mass density is 6.76 Mg/m³.

The structure belongs to space group P4/mmm (No. 123); the cell edges are 4.2374, 4.2374 and 12.4968 Å and the angles 90.00°, 90.00° and 90.00°. The distinct sites, in fractional coordinates, are Mg at (0.0000, 0.0000, 0.1656), U at (0.0000, 0.0000, 0.5000), Ga at (0.0000, 0.5000, 0.0000), Ga at (0.0000, 0.5000, 0.3261), Ga at (0.5000, 0.5000, 0.1623) and Ga at (0.5000, 0.5000, 0.5000).



No. 7
Density functional theory data (PBE) for an optimized crystal structure of HfTa2Cu2.

For the formation energy, the calculation gives 3.83 kcal/mol of atoms. The crystal system is tetragonal. For the total DFT energy (no corrections), the calculation gives -82.04 eV per cell. For the polymorph energy (0 for the lowest one), the calculation gives 0.000 eV per atom. The total magnetization comes out at 0.0 μB per formula unit. The value obtained for the mass density is 13.36 Mg/m³.

The structure belongs to space group P4/mbm (No. 127); the cell edges are 7.3086, 7.3086 and 3.1063 Å and the angles 90.00°, 90.00° and 90.00°. The distinct sites, in fractional coordinates, are Hf at (0.0000, 0.0000, 0.0000), Ta at (0.1747, 0.3253, 0.5000) and Cu at (0.1206, 0.6206, 0.0000).



No. 8
Density functional theory data (PBE) for an optimized crystal structure of La2AlBi2.

For the formation energy, the calculation gives -11.20 kcal/mol of atoms. The crystal system is tetragonal. For the total DFT energy (no corrections), the calculation gives -47.58 eV per cell. For the polymorph energy (0 for the lowest one), the calculation gives 0.100 eV per atom. The total magnetization comes out at 0.0 μB per formula unit. The value obtained for the mass density is 7.31 Mg/m³.

The structure belongs to space group P4/mbm (No. 127); the cell edges are 8.6369, 8.6369 and 4.4022 Å and the angles 90.00°, 90.00° and 90.00°. The distinct sites, in fractional coordinates, are La at (0.1458, 0.3542, 0.0000), Al at (0.0000, 0.0000, 0.0000) and Bi at (0.1635, 0.6635, 0.5000).



No. 9
Density functional theory data (PBE) for an optimized crystal structure of FeCo3W.

For the formation energy, the calculation gives 7.31 kcal/mol of atoms. The crystal system is orthorhombic. For the total DFT energy (no corrections), the calculation gives -164.60 eV per cell. For the polymorph energy (0 for the lowest one), the calculation gives 0.000 eV per atom. The total magnetization comes out at 4.6 μB per formula unit. The value obtained for the mass density is 10.93 Mg/m³.

The structure belongs to space group Cmcm (No. 63); the cell edges are 4.6381, 12.5684 and 4.3399 Å and the angles 90.00°, 90.00° and 90.00°. The distinct sites, in fractional coordinates, are Fe at (0.0000, 0.0587, 0.2500), Co at (0.0000, 0.5000, 0.0000), Co at (0.2409, 0.1376, 0.7500) and W at (0.0000, 0.3083, 0.7500).



No. 10
Density functional theory data (PBE) for an optimized crystal structure of HfHg2Pb.

For the formation energy, the calculation gives 4.80 kcal/mol of atoms. The crystal system is trigonal. For the total DFT energy (no corrections), the calculation gives -40.30 eV per cell. The total magnetization comes out at 0.0 μB per formula unit. The value obtained for the mass density is 12.36 Mg/m³.

The structure belongs to space group R3m (No. 160, hexagonal axes); the cell edges are 4.6709, 4.6709 and 16.7881 Å and the angles 90.00°, 90.00° and 120.00°. The distinct sites, in fractional coordinates, are Hf at (0.0000, 0.0000, 0.0000), Hg at (0.0000, 0.0000, 0.4104), Hg at (0.0000, 0.0000, 0.6112) and Pb at (0.0000, 0.0000, 0.1881).



No. 11
Density functional theory data (PBE) for an optimized crystal structure of SiPIr2.

The crystal system is tetragonal. For the total DFT energy (no corrections), the calculation gives -28.75 eV per cell. For the polymorph energy (0 for the lowest one), the calculation gives 0.319 eV per atom. The total magnetization comes out at 0.0 μB per formula unit. The value obtained for the mass density is 13.43 Mg/m³.

The structure belongs to space group P4/mmm (No. 123); the cell edges are 4.3940, 4.3940 and 2.8406 Å and the angles 90.00°, 90.00° and 90.00°. The distinct sites, in fractional coordinates, are Si at (0.0000, 0.0000, 0.0000), P at (0.5000, 0.5000, 0.0000) and Ir at (0.0000, 0.5000, 0.5000).



No. 12
Density functional theory data (PBE) for an optimized crystal structure of Ba2NaTe2S6.

The crystal system is monoclinic. For the total DFT energy (no corrections), the calculation gives -90.23 eV per cell. The total magnetization comes out at 0.0 μB per formula unit. The value obtained for the mass density is 3.56 Mg/m³.

The structure belongs to space group C2/m (No. 12); the cell edges are 13.4358, 7.1490 and 8.4991 Å and the angles 90.00°, 121.58° and 90.00°. The distinct sites, in fractional coordinates, are Ba at (0.1786, 0.0000, 0.2208), Na at (0.0000, 0.0000, 0.5000), Te at (0.0453, 0.5000, 0.3207), S at (0.0467, 0.1947, 0.8130) and S at (0.2270, 0.5000, 0.3302).



> Number 10 is which compound?

HfHg2Pb